Record 1
VASP calculation (PBE-GGA) on KHg2Au after structural relaxation.

a b c (Å): 4.851 6.220 8.036
angles (deg): 90.00 90.00 112.95
Element x y z (fractional)
K  0.926  0.853  0.250
K  0.074  0.147  0.750
Hg  0.365  0.731  0.945
Hg  0.635  0.269  0.055
Hg  0.635  0.269  0.445
Hg  0.365  0.731  0.555
Au  0.216  0.432  0.250
Au  0.784  0.568  0.750

Results
formation energy = -0.263 eV/atom
energy above the lowest structure with this stoichiometry = 0 meV/atom

---

Record 2
VASP calculation (PBE-GGA) on Hf3BeCo3 after structural relaxation.

a b c (Å): 3.388 4.986 13.131
angles (deg): 84.95 82.59 70.14
Element x y z (fractional)
Hf  0.517  0.352  0.614
Hf  0.483  0.648  0.386
Hf  0.262  0.247  0.229
Hf  0.738  0.753  0.771
Hf  0.391  0.294  0.923
Hf  0.609  0.706  0.077
Be  0.771  0.073  0.385
Be  0.229  0.927  0.615
Co  0.843  0.781  0.532
Co  0.157  0.219  0.468
Co  0.117  0.844  0.923
Co  0.883  0.156  0.077
Co  0.977  0.812  0.235
Co  0.023  0.188  0.765

Results
formation energy = -0.369 eV/atom

---

Record 3
VASP calculation (PBE-GGA) on Pm3Zn2Pb after structural relaxation.

a b c (Å): 3.668 3.668 11.726
angles (deg): 90.00 90.00 90.00
Element x y z (fractional)
Pm  0.000  0.000  0.000
Pm  0.000  0.000  0.690
Pm  0.000  0.000  0.310
Zn  0.500  0.500  0.851
Zn  0.500  0.500  0.149
Pb  0.500  0.500  0.500

Results
formation energy = -0.386 eV/atom
energy above the lowest structure with this stoichiometry = 0 meV/atom

---

Record 4
VASP calculation (PBE-GGA) on Ac12Ni3Au5 after structural relaxation.

a b c (Å): 15.856 15.856 15.856
angles (deg): 109.47 109.47 109.47
Element x y z (fractional)
Ni  0.750  0.375  0.125
Ni  0.875  0.750  0.125
Ni  0.375  0.750  0.625
Ni  0.250  0.125  0.375
Ni  0.875  0.125  0.250
Ni  0.375  0.625  0.250
Ni  0.625  0.375  0.750
Ni  0.125  0.875  0.750
Ni  0.750  0.875  0.625
Ni  0.625  0.250  0.375
Ni  0.125  0.250  0.875
Ni  0.250  0.625  0.875
Au  0.125  0.375  0.250
Au  0.000  0.500  0.000
Au  0.000  0.000  0.000
Au  0.375  0.250  0.125
Au  0.500  0.000  0.500
Au  0.500  0.500  0.000
Au  0.125  0.750  0.375
Au  0.750  0.125  0.875
Au  0.750  0.625  0.375
Au  0.375  0.125  0.750
Au  0.625  0.875  0.250
Au  0.500  0.500  0.500
Au  0.500  0.000  0.000
Au  0.000  0.000  0.500
Au  0.250  0.375  0.625
Au  0.250  0.875  0.125
Au  0.000  0.500  0.500
Au  0.875  0.250  0.625
Au  0.625  0.750  0.875
Au  0.875  0.625  0.750
Ac  0.727  0.130  0.055
Ac  0.329  0.555  0.425
Ac  0.945  0.370  0.273
Ac  0.555  0.227  0.130
Ac  0.597  0.727  0.671
Ac  0.945  0.575  0.171
Ac  0.329  0.773  0.403
Ac  0.075  0.903  0.130
Ac  0.575  0.945  0.671
Ac  0.727  0.597  0.171
Ac  0.773  0.445  0.370
Ac  0.829  0.925  0.055
Ac  0.130  0.727  0.555
Ac  0.370  0.425  0.097
Ac  0.097  0.925  0.370
Ac  0.403  0.130  0.575
Ac  0.097  0.171  0.227
Ac  0.445  0.671  0.075
Ac  0.829  0.903  0.273
Ac  0.130  0.403  0.075
Ac  0.370  0.945  0.773
Ac  0.575  0.630  0.403
Ac  0.925  0.829  0.555
Ac  0.773  0.329  0.903
Ac  0.425  0.370  0.597
Ac  0.075  0.171  0.445
Ac  0.227  0.671  0.097
Ac  0.171  0.097  0.727
Ac  0.630  0.055  0.227
Ac  0.870  0.597  0.925
Ac  0.555  0.329  0.925
Ac  0.597  0.870  0.425
Ac  0.903  0.829  0.773
Ac  0.903  0.075  0.630
Ac  0.870  0.273  0.445
Ac  0.171  0.075  0.945
Ac  0.630  0.575  0.903
Ac  0.425  0.055  0.329
Ac  0.273  0.403  0.829
Ac  0.227  0.555  0.630
Ac  0.925  0.097  0.870
Ac  0.671  0.227  0.597
Ac  0.445  0.773  0.870
Ac  0.055  0.425  0.829
Ac  0.403  0.273  0.329
Ac  0.055  0.630  0.727
Ac  0.671  0.445  0.575
Ac  0.273  0.870  0.945

Results
formation energy = -0.108 eV/atom

---

Record 5
VASP calculation (PBE-GGA) on Na3Hg4Au4 after structural relaxation.

a b c (Å): 4.287 8.173 8.985
angles (deg): 117.05 103.80 90.00
Element x y z (fractional)
Na  0.122  0.122  0.243
Na  0.878  0.878  0.757
Na  0.000  0.500  0.000
Hg  0.333  0.126  0.666
Hg  0.667  0.460  0.334
Hg  0.667  0.874  0.334
Hg  0.333  0.540  0.666
Au  0.223  0.723  0.446
Au  0.777  0.277  0.554
Au  0.500  0.827  0.000
Au  0.500  0.173  0.000

Results
formation energy = -0.201 eV/atom
energy above the lowest structure with this stoichiometry = 0 meV/atom

---

Record 6
VASP calculation (PBE-GGA) on SrAl2CrBr after structural relaxation.

a b c (Å): 5.346 5.622 5.346
angles (deg): 90.00 90.00 90.00
Element x y z (fractional)
Sr  0.000  0.500  0.000
Al  0.000  0.000  0.500
Al  0.500  0.000  0.000
Br  0.000  0.000  0.000
Cr  0.500  0.500  0.500

Results
energy relative to the elements, uncorrected = 0.673 eV per atom

---

Record 7
VASP calculation (PBE-GGA) on Y4TlRh after structural relaxation.

a b c (Å): 9.709 9.709 9.709
angles (deg): 60.00 60.00 60.00
Element x y z (fractional)
Y  0.400  0.400  0.400
Y  0.800  0.400  0.400
Y  0.400  0.800  0.400
Y  0.400  0.400  0.800
Y  0.560  0.560  0.940
Y  0.940  0.940  0.560
Y  0.560  0.940  0.560
Y  0.940  0.560  0.940
Y  0.940  0.560  0.560
Y  0.560  0.940  0.940
Y  0.189  0.189  0.811
Y  0.811  0.811  0.189
Y  0.189  0.811  0.189
Y  0.811  0.189  0.811
Y  0.811  0.189  0.189
Y  0.189  0.811  0.811
Tl  0.164  0.164  0.164
Tl  0.508  0.164  0.164
Tl  0.164  0.508  0.164
Tl  0.164  0.164  0.508
Rh  0.608  0.608  0.608
Rh  0.177  0.608  0.608
Rh  0.608  0.177  0.608
Rh  0.608  0.608  0.177

Results
formation energy = -0.511 eV/atom
energy above the lowest structure with this stoichiometry = 0 meV/atom

---

Record 8
VASP calculation (PBE-GGA) on SmHoCoPd after structural relaxation.

a b c (Å): 4.893 4.893 4.893
angles (deg): 60.00 60.00 60.00
Element x y z (fractional)
Pd  0.000  0.000  0.000
Co  0.500  0.500  0.500
Ho  0.250  0.250  0.250
Sm  0.750  0.750  0.750

Results
formation energy = -0.436 eV/atom

---

Number 1: density of states at the Fermi level 1.2 states/eV per cell. Number 2: density of states at the Fermi level 9.5 states/eV per cell. Number 3: density of states at the Fermi level 4.5 states/eV per cell. Number 4: density of states at the Fermi level 77.5 states/eV per cell. Number 5: density of states at the Fermi level 3.6 states/eV per cell. Number 6: density of states at the Fermi level 2.8 states/eV per cell. Number 7: density of states at the Fermi level 16.2 states/eV per cell. Number 8: density of states at the Fermi level 2.9 states/eV per cell.